Record 1
{"formula": "Tb2PaSe6", "functional": "GGA-PBE", "state": "relaxed", "cell": [[6.704, 0.000, 0.000], [0.000, 6.704, 0.000], [0.000, 0.000, 12.661]], "species": ["Tb", "Tb", "Tb", "Tb", "Pa", "Pa", "Se", "Se", "Se", "Se", "Se", "Se", "Se", "Se", "Se", "Se", "Se", "Se"], "frac_coords": [[0.000, 0.000, 0.167], [0.000, 0.000, 0.833], [0.500, 0.500, 0.333], [0.500, 0.500, 0.667], [0.000, 0.000, 0.500], [0.500, 0.500, 0.000], [0.197, 0.197, 0.339], [0.197, 0.197, 0.661], [0.206, 0.206, 0.000], [0.294, 0.706, 0.500], [0.303, 0.697, 0.161], [0.303, 0.697, 0.839], [0.697, 0.303, 0.161], [0.697, 0.303, 0.839], [0.706, 0.294, 0.500], [0.794, 0.794, 0.000], [0.803, 0.803, 0.339], [0.803, 0.803, 0.661]], "n_ef_per_ev_cell": 10.239, "total_energy_ev_per_cell": -104.932}

Record 2
{"formula": "Tb2PaSe5", "functional": "GGA-PBE", "state": "relaxed", "cell": [[0.000, 4.796, 7.652], [2.802, 0.000, 7.652], [2.802, 4.796, 0.000]], "species": ["Tb", "Tb", "Pa", "Se", "Se", "Se", "Se", "Se"], "frac_coords": [[0.181, 0.181, 0.819], [0.819, 0.819, 0.181], [0.500, 0.500, 0.500], [0.000, 0.000, 0.000], [0.181, 0.511, 0.489], [0.489, 0.819, 0.181], [0.511, 0.181, 0.819], [0.819, 0.489, 0.511]], "n_ef_per_ev_cell": 3.216, "total_energy_ev_per_cell": -47.621}

Record 3
{"formula": "TbPa6Se12", "functional": "GGA-PBE", "state": "relaxed", "cell": [[6.374, 3.680, 3.842], [-6.374, 3.680, 3.842], [0.000, -7.360, 3.842]], "species": ["Tb", "Pa", "Pa", "Pa", "Pa", "Pa", "Pa", "Se", "Se", "Se", "Se", "Se", "Se", "Se", "Se", "Se", "Se", "Se", "Se"], "frac_coords": [[0.000, 0.000, 0.000], [0.135, 0.310, 0.631], [0.310, 0.631, 0.135], [0.369, 0.865, 0.690], [0.631, 0.135, 0.310], [0.690, 0.369, 0.865], [0.865, 0.690, 0.369], [0.043, 0.933, 0.671], [0.067, 0.329, 0.957], [0.177, 0.565, 0.422], [0.329, 0.957, 0.067], [0.422, 0.177, 0.565], [0.435, 0.578, 0.823], [0.565, 0.422, 0.177], [0.578, 0.823, 0.435], [0.671, 0.043, 0.933], [0.823, 0.435, 0.578], [0.933, 0.671, 0.043], [0.957, 0.067, 0.329]], "n_ef_per_ev_cell": 31.932, "total_energy_ev_per_cell": -128.543}

Record 4
{"formula": "Tb6PaSe12", "functional": "GGA-PBE", "state": "relaxed", "cell": [[6.294, 3.634, 3.947], [-6.294, 3.634, 3.947], [0.000, -7.268, 3.947]], "species": ["Tb", "Tb", "Tb", "Tb", "Tb", "Tb", "Pa", "Se", "Se", "Se", "Se", "Se", "Se", "Se", "Se", "Se", "Se", "Se", "Se"], "frac_coords": [[0.133, 0.639, 0.814], [0.186, 0.867, 0.361], [0.361, 0.186, 0.867], [0.639, 0.814, 0.133], [0.814, 0.133, 0.639], [0.867, 0.361, 0.186], [0.500, 0.500, 0.500], [0.073, 0.321, 0.924], [0.076, 0.927, 0.679], [0.172, 0.534, 0.425], [0.321, 0.924, 0.073], [0.425, 0.172, 0.534], [0.466, 0.575, 0.828], [0.534, 0.425, 0.172], [0.575, 0.828, 0.466], [0.679, 0.076, 0.927], [0.828, 0.466, 0.575], [0.924, 0.073, 0.321], [0.927, 0.679, 0.076]], "n_ef_per_ev_cell": 16.041, "total_energy_ev_per_cell": -110.740}

Record 5
{"formula": "Tb5PaSe6", "functional": "GGA-PBE", "state": "relaxed", "cell": [[3.542, -6.134, 0.000], [3.542, 6.134, 0.000], [-2.368, 0.000, 6.676]], "species": ["Tb", "Tb", "Tb", "Tb", "Tb", "Pa", "Se", "Se", "Se", "Se", "Se", "Se"], "frac_coords": [[0.000, 0.000, 0.000], [0.166, 0.834, 0.500], [0.328, 0.672, 0.000], [0.672, 0.328, 0.000], [0.834, 0.166, 0.500], [0.500, 0.500, 0.500], [0.085, 0.417, 0.252], [0.253, 0.253, 0.754], [0.417, 0.085, 0.252], [0.583, 0.915, 0.748], [0.747, 0.747, 0.246], [0.915, 0.583, 0.748]], "n_ef_per_ev_cell": 9.271, "total_energy_ev_per_cell": -73.509}

Record 6
{"formula": "TbPa4Se5", "functional": "GGA-PBE", "state": "relaxed", "cell": [[2.036, 1.175, 16.649], [-2.036, 1.175, 16.649], [0.000, -2.351, 16.649]], "species": ["Tb", "Pa", "Pa", "Pa", "Pa", "Se", "Se", "Se", "Se", "Se"], "frac_coords": [[0.000, 0.000, 0.000], [0.200, 0.200, 0.200], [0.401, 0.401, 0.401], [0.599, 0.599, 0.599], [0.800, 0.800, 0.800], [0.100, 0.100, 0.100], [0.300, 0.300, 0.300], [0.500, 0.500, 0.500], [0.700, 0.700, 0.700], [0.900, 0.900, 0.900]], "n_ef_per_ev_cell": 17.534, "total_energy_ev_per_cell": -73.145}

no.,uncorrected formation energy (kJ per mole of atoms)
1,-137
2,-138
3,-128
4,-161
5,-160
6,-126